Cs2LaTaSb | PBE | optimized geometry

a = 6.159 Å, b = 5.721 Å, c = 6.159 Å
α = 90.00°, β = 90.00°, γ = 90.00°
Fractional positions:
Cs  0.500  0.000  0.000
Cs  0.000  0.000  0.500
La  0.000  0.500  0.000
Ta  0.000  0.000  0.000
Sb  0.500  0.500  0.500

Summary:
- Uncorrected formation energy: 1.1135 eV per atom

***

Cs2LaTcSb | PBE | optimized geometry

a = 7.245 Å, b = 4.634 Å, c = 7.245 Å
α = 90.00°, β = 90.00°, γ = 90.00°
Fractional positions:
Sb  0.500  0.500  0.500
La  0.000  0.000  0.000
Tc  0.000  0.500  0.000
Cs  0.000  0.000  0.500
Cs  0.500  0.000  0.000

Summary:
- Uncorrected formation energy: 0.8503 eV per atom

***

CsLaSbTe2 | PBE | optimized geometry

a = 6.250 Å, b = 6.250 Å, c = 6.252 Å
α = 90.00°, β = 90.00°, γ = 90.00°
Fractional positions:
Te  0.500  0.000  0.000
Te  0.000  0.500  0.000
Cs  0.500  0.500  0.500
La  0.000  0.000  0.000
Sb  0.000  0.000  0.500

Summary:
- Uncorrected formation energy: -0.6053 eV per atom
- Offset from the most stable computed form: 0 meV/atom